Compound: AgAsPd4
Source: Alexandria
Functional: PBE
Structure: optimized geometry

Summary:
Density of states at the Fermi level (states/eV per atom): 0.5315
ρ (kg/m3): 9967
E_form (meV/atom): -137

a = 5.312 Å, b = 5.478 Å, c = 7.546 Å
α = 98.87°, β = 110.58°, γ = 90.07°
Element x y z (fractional)
Ag  0.907  0.750  0.000
Ag  0.093  0.250  0.000
As  0.500  0.000  0.500
As  0.000  0.500  0.500
Pd  0.508  0.070  0.831
Pd  0.677  0.430  0.169
Pd  0.492  0.930  0.169
Pd  0.323  0.570  0.831
Pd  0.959  0.916  0.660
Pd  0.299  0.584  0.341
Pd  0.041  0.084  0.340
Pd  0.701  0.416  0.659